# K2TlWO4

A relaxed K2TlWO4 crystal (GGA+U, Alexandria via LeMat-Bulk).

## Properties
* density of states at the Fermi level: 1.3 states/eV/cell
* total energy: -5.540 eV per atom
* calculated volume: 24.75 A^3/atom

Lattice parameters (Å, degrees): 6.926 6.926 6.926 128.48 128.48 75.85
Fractional coordinates of all 8 atoms:
K  0.250  0.750  0.500
K  0.750  0.250  0.500
Tl  0.000  0.000  0.000
W  0.500  0.500  0.000
O  0.228  0.228  0.651
O  0.423  0.772  0.000
O  0.577  0.577  0.349
O  0.772  0.423  0.000